Entry 1:
DFT (SCAN) results for a crystal of SiAs3H relaxed with PBEsol.

As for the uncorrected energy: -68.069 eV per formula unit. The density comes out at 4.03 g/cm3.

The space group is Pm-3m (No. 221) and the conventional cell measures 4.714, 4.714 and 4.714 Å, with angles of 90.00, 90.00 and 90.00 degrees. The asymmetric unit holds Si at (0.000, 0.000, 0.000), As at (0.000, 0.000, 0.500) and H at (0.500, 0.500, 0.500).

---

Entry 2:
DFT (SCAN) results for a crystal of Sn3AsH relaxed with PBEsol.

As for the uncorrected energy: -126.067 eV per formula unit. The density comes out at 4.66 g/cm3.

The space group is Pm-3m (No. 221) and the conventional cell measures 5.359, 5.359 and 5.359 Å, with angles of 90.00, 90.00 and 90.00 degrees. The asymmetric unit holds Sn at (0.000, 0.000, 0.500), As at (0.000, 0.000, 0.000) and H at (0.500, 0.500, 0.500).